[1]
The following is a DFT calculation (GGA-PBE) of a relaxed structure of ZrTlSe2Br.

a = 5.2658 Å, b = 5.2658 Å, c = 5.4600 Å
α = 90.00°, β = 90.00°, γ = 90.00°
Last column: nearest neighbours and their distance in Å.
Positions (direct):
1 Zr 0.0000 0.0000 0.0000  4 Se 2.63, 2 Br 2.73
2 Tl 0.5000 0.5000 0.5000  4 Br 3.72, 8 Se 3.79
3 Se 0.0000 0.5000 0.0000  2 Zr 2.63
4 Se 0.5000 0.0000 0.0000  2 Zr 2.63
5 Br 0.0000 0.0000 0.5000  2 Zr 2.73

- Uncorrected formation energy: -4.6 eV per formula unit
- Relative energy among the computed polymorphs: 0 meV/atom
- DFT total energy: -4.83 eV/atom
- Spin magnetization: 0.0 μB/cell

---

[2]
The following is a DFT calculation (GGA-PBE) of a relaxed structure of Y3Mo.

a = 6.7528 Å, b = 6.7528 Å, c = 5.2755 Å
α = 90.00°, β = 90.00°, γ = 120.00°
Last column: nearest neighbours and their distance in Å.
Positions (direct):
1 Y 0.1727 0.3455 0.2500  4 Mo 3.24-3.38, 8 Y 3.25-3.50
2 Y 0.1727 0.8273 0.2500  4 Mo 3.24-3.38, 8 Y 3.25-3.50
3 Y 0.3455 0.1727 0.7500  4 Mo 3.24-3.38, 8 Y 3.25-3.50
4 Y 0.6545 0.8273 0.2500  4 Mo 3.24-3.38, 8 Y 3.25-3.50
5 Y 0.8273 0.1727 0.7500  4 Mo 3.24-3.38, 8 Y 3.25-3.50
6 Y 0.8273 0.6545 0.7500  4 Mo 3.24-3.38, 8 Y 3.25-3.50
7 Mo 0.3333 0.6667 0.7500  12 Y 3.24-3.38
8 Mo 0.6667 0.3333 0.2500  12 Y 3.24-3.38

- Relative energy among the computed polymorphs: 131 meV/atom
- Energy relative to the elements: 307 meV per atom
- DFT total energy: -7.25 eV/atom
- Spin magnetization: 0.3 μB/cell

---

[3]
The following is a DFT calculation (GGA-PBE) of a relaxed structure of PmNdSmGa.

a = 7.7157 Å, b = 7.7157 Å, c = 7.7157 Å
α = 90.00°, β = 90.00°, γ = 90.00°
Last column: nearest neighbours and their distance in Å.
Positions (direct):
1 Pm 0.0000 0.0000 0.0000  4 Nd 3.34, 4 Sm 3.34
2 Pm 0.0000 0.5000 0.5000  4 Nd 3.34, 4 Sm 3.34
3 Pm 0.5000 0.0000 0.5000  4 Nd 3.34, 4 Sm 3.34
4 Pm 0.5000 0.5000 0.0000  4 Nd 3.34, 4 Sm 3.34
5 Nd 0.2500 0.2500 0.2500  4 Pm 3.34, 4 Ga 3.34
6 Nd 0.2500 0.7500 0.7500  4 Pm 3.34, 4 Ga 3.34
7 Nd 0.7500 0.2500 0.7500  4 Pm 3.34, 4 Ga 3.34
8 Nd 0.7500 0.7500 0.2500  4 Ga 3.34, 4 Pm 3.34
9 Sm 0.2500 0.2500 0.7500  4 Pm 3.34, 4 Ga 3.34
10 Sm 0.2500 0.7500 0.2500  4 Pm 3.34, 4 Ga 3.34
11 Sm 0.7500 0.2500 0.2500  4 Pm 3.34, 4 Ga 3.34
12 Sm 0.7500 0.7500 0.7500  4 Pm 3.34, 4 Ga 3.34
13 Ga 0.0000 0.0000 0.5000  4 Nd 3.34, 4 Sm 3.34
14 Ga 0.0000 0.5000 0.0000  4 Nd 3.34, 4 Sm 3.34
15 Ga 0.5000 0.0000 0.0000  4 Nd 3.34, 4 Sm 3.34
16 Ga 0.5000 0.5000 0.5000  4 Nd 3.34, 4 Sm 3.34

- Energy relative to the elements: -64 meV per atom
- DFT total energy: -4.38 eV/atom
- Spin magnetization: 4.7 μB/cell

---

[4]
The following is a DFT calculation (GGA-PBE) of a relaxed structure of ZnInGa.

a = 3.7949 Å, b = 5.1541 Å, c = 6.8849 Å
α = 73.77°, β = 83.50°, γ = 90.00°
Last column: nearest neighbours and their distance in Å.
Positions (direct):
1 Zn 0.0051 0.2503 0.0011  2 Zn 2.57-2.58, 2 Ga 2.67-2.69
2 Zn 0.9949 0.7497 0.9989  2 Zn 2.57-2.58, 2 Ga 2.67-2.69
3 In 0.4831 0.8884 0.3017  4 Zn 2.92-3.16, 4 Ga 2.99-3.08, 1 In 3.26
4 In 0.5169 0.1116 0.6983  4 Zn 2.92-3.16, 4 Ga 2.99-3.08, 1 In 3.26
5 Ga 0.0811 0.3720 0.3472  2 Zn 2.67-2.69, 1 Ga 2.79, 2 In 2.99
6 Ga 0.9189 0.6280 0.6528  2 Zn 2.67-2.69, 1 Ga 2.79, 2 In 2.99

- Energy relative to the elements: 83 meV per atom
- DFT total energy: -2.26 eV/atom
- Spin magnetization: 0.0 μB/cell

---

[5]
The following is a DFT calculation (GGA-PBE) of a relaxed structure of CoAs2OsBr.

a = 4.6897 Å, b = 4.6897 Å, c = 5.4621 Å
α = 90.00°, β = 90.00°, γ = 90.00°
Last column: nearest neighbours and their distance in Å.
Positions (direct):
1 Co 0.0000 0.0000 0.0000  4 Br 3.32, 8 As 3.60
2 As 0.0000 0.5000 0.5000  2 Os 2.34
3 As 0.5000 0.0000 0.5000  2 Os 2.34
4 Os 0.5000 0.5000 0.5000  4 As 2.34
5 Br 0.5000 0.5000 0.0000  2 Os 2.73

- Uncorrected formation energy: 5.2 eV per formula unit
- Relative energy among the computed polymorphs: 0 meV/atom
- DFT total energy: -4.82 eV/atom
- Spin magnetization: 2.1 μB/cell

---

[6]
The following is a DFT calculation (GGA-PBE) of a relaxed structure of Li3TeC.

a = 5.1787 Å, b = 5.1787 Å, c = 5.1787 Å
α = 90.00°, β = 90.00°, γ = 90.00°
Last column: nearest neighbours and their distance in Å.
Positions (direct):
1 Li 0.0000 0.0000 0.5000  2 Te 2.59
2 Li 0.0000 0.5000 0.0000  2 Te 2.59
3 Li 0.5000 0.0000 0.0000  2 Te 2.59
4 Te 0.0000 0.0000 0.0000  6 Li 2.59
5 C 0.5000 0.5000 0.5000  12 Li 3.66

- Uncorrected formation energy: 3.3 eV per formula unit
- Relative energy among the computed polymorphs: 428 meV/atom
- DFT total energy: -2.96 eV/atom
- Spin magnetization: 3.0 μB/cell

---

[7]
The following is a DFT calculation (GGA-PBE) of a relaxed structure of BeAsCl2.

a = 13.4097 Å, b = 2.8546 Å, c = 7.6713 Å
α = 90.00°, β = 119.23°, γ = 90.00°
Last column: nearest neighbours and their distance in Å.
Positions (direct):
1 Be 0.0000 0.0000 0.0000  4 Cl 2.05
2 Be 0.5000 0.5000 0.0000  4 Cl 2.05
3 As 0.0000 0.5000 0.5000  2 As 2.85
4 As 0.5000 0.0000 0.5000  2 As 2.85
5 Cl 0.1262 0.5000 0.1090  2 Be 2.05
6 Cl 0.3738 0.0000 0.8910  2 Be 2.05
7 Cl 0.6262 0.0000 0.1090  2 Be 2.05
8 Cl 0.8738 0.5000 0.8910  2 Be 2.05

- Uncorrected formation energy: -1.2 eV per formula unit
- Relative energy among the computed polymorphs: 231 meV/atom
- DFT total energy: -3.31 eV/atom
- Spin magnetization: 0.5 μB/cell

---

[8]
The following is a DFT calculation (GGA-PBE) of a relaxed structure of Ni2MoRh.

a = 2.6837 Å, b = 3.6919 Å, c = 5.2461 Å
α = 90.00°, β = 90.00°, γ = 90.00°
Last column: nearest neighbours and their distance in Å.
Positions (direct):
1 Ni 0.0000 0.0000 0.0000  1 Mo 2.46, 6 Ni 2.56-2.68, 4 Rh 2.67
2 Ni 0.5000 0.5000 0.2203  2 Rh 2.55-2.70, 6 Ni 2.56-2.68, 4 Mo 2.63
3 Mo 0.0000 0.0000 0.4696  5 Ni 2.46-2.63, 4 Rh 2.67, 2 Mo 2.68
4 Rh 0.5000 0.5000 0.7347  6 Ni 2.55-2.70, 4 Mo 2.67, 2 Rh 2.68

- Relative energy among the computed polymorphs: 51 meV/atom
- Energy relative to the elements: -78 meV per atom
- DFT total energy: -7.51 eV/atom
- Spin magnetization: 0.0 μB/cell

---

[9]
The following is a DFT calculation (GGA-PBE) of a relaxed structure of Bi2AsO5.

a = 8.6522 Å, b = 8.6522 Å, c = 11.4012 Å
α = 118.85°, β = 118.85°, γ = 49.90°
Last column: nearest neighbours and their distance in Å.
Positions (direct):
1 Bi 0.0387 0.2406 0.8428  6 O 2.35-2.50
2 Bi 0.1948 0.7175 0.5105  5 O 2.29-2.55
3 Bi 0.2406 0.0387 0.3428  6 O 2.35-2.50
4 Bi 0.2825 0.8052 0.9895  5 O 2.29-2.55
5 Bi 0.7175 0.1948 0.0105  5 O 2.29-2.55
6 Bi 0.7594 0.9613 0.6572  6 O 2.35-2.50
7 Bi 0.8052 0.2825 0.4895  5 O 2.29-2.55
8 Bi 0.9613 0.7594 0.1572  6 O 2.35-2.50
9 As 0.2320 0.4038 0.6948  4 O 1.76-1.79
10 As 0.4038 0.2320 0.1948  4 O 1.76-1.79
11 As 0.5962 0.7680 0.8052  4 O 1.76-1.79
12 As 0.7680 0.5962 0.3052  4 O 1.76-1.79
13 O 0.0693 0.3321 0.6808  1 As 1.79
14 O 0.0707 0.9080 0.1109  4 Bi 2.29-2.53
15 O 0.0896 0.6454 0.6536  1 As 1.78
16 O 0.0920 0.9293 0.3891  4 Bi 2.29-2.53
17 O 0.2116 0.3836 0.0738  1 As 1.76
18 O 0.3321 0.0693 0.1808  1 As 1.79
19 O 0.3546 0.9104 0.8464  1 As 1.78
20 O 0.3836 0.2116 0.5738  1 As 1.76
21 O 0.3985 0.4244 0.8648  1 As 1.78
22 O 0.4244 0.3985 0.3648  1 As 1.78
23 O 0.5756 0.6015 0.6352  1 As 1.78
24 O 0.6015 0.5756 0.1352  1 As 1.78
25 O 0.6164 0.7884 0.4262  1 As 1.76
26 O 0.6454 0.0896 0.1536  1 As 1.78
27 O 0.6679 0.9307 0.8192  1 As 1.79
28 O 0.7884 0.6164 0.9262  1 As 1.76
29 O 0.9080 0.0707 0.6109  4 Bi 2.29-2.53
30 O 0.9104 0.3546 0.3464  1 As 1.78
31 O 0.9293 0.0920 0.8891  4 Bi 2.29-2.53
32 O 0.9307 0.6679 0.3192  1 As 1.79

- Uncorrected formation energy: -9.1 eV per formula unit
- Relative energy among the computed polymorphs: 0 meV/atom
- DFT total energy: -5.78 eV/atom
- Spin magnetization: 0.0 μB/cell

---

[10]
The following is a DFT calculation (GGA-PBE) of a relaxed structure of NdTh3Au7.

a = 11.3236 Å, b = 11.3236 Å, c = 12.3565 Å
α = 90.00°, β = 90.00°, γ = 159.63°
Last column: nearest neighbours and their distance in Å.
Positions (direct):
1 Nd 0.0969 0.9031 0.7500  8 Au 3.10-3.11
2 Nd 0.9031 0.0969 0.2500  8 Au 3.10-3.11
3 Th 0.0843 0.9157 0.0637  9 Au 2.95-3.22
4 Th 0.0843 0.9157 0.4363  9 Au 2.95-3.22
5 Th 0.2820 0.7180 0.7500  5 Au 3.01-3.06
6 Th 0.7180 0.2820 0.2500  5 Au 3.01-3.06
7 Th 0.9157 0.0843 0.5637  9 Au 2.95-3.22
8 Th 0.9157 0.0843 0.9363  9 Au 2.95-3.22
9 Au 0.2168 0.7832 0.0684  5 Au 2.81-3.11, 3 Th 2.95-3.01
10 Au 0.2168 0.7832 0.4316  5 Au 2.81-3.11, 3 Th 2.95-3.01
11 Au 0.3422 0.6578 0.0919  4 Au 2.81-3.11, 2 Nd 3.11
12 Au 0.3422 0.6578 0.4081  4 Au 2.81-3.11, 2 Nd 3.11
13 Au 0.4195 0.5805 0.7500  2 Au 2.95, 5 Th 3.05-3.06
14 Au 0.4740 0.5260 0.1077  3 Au 2.90-2.95, 2 Nd 3.10, 4 Th 3.19-3.22
15 Au 0.4740 0.5260 0.3923  3 Au 2.90-2.95, 2 Nd 3.10, 4 Th 3.19-3.22
16 Au 0.5260 0.4740 0.6077  3 Au 2.90-2.95, 2 Nd 3.10, 4 Th 3.19-3.22
17 Au 0.5260 0.4740 0.8923  3 Au 2.90-2.95, 2 Nd 3.10, 4 Th 3.19-3.22
18 Au 0.5805 0.4195 0.2500  2 Au 2.95, 5 Th 3.05-3.06
19 Au 0.6578 0.3422 0.5919  4 Au 2.81-3.11, 2 Nd 3.11
20 Au 0.6578 0.3422 0.9081  4 Au 2.81-3.11, 2 Nd 3.11
21 Au 0.7832 0.2168 0.5684  5 Au 2.81-3.11, 3 Th 2.95-3.01
22 Au 0.7832 0.2168 0.9316  5 Au 2.81-3.11, 3 Th 2.95-3.01

- Energy relative to the elements: -605 meV per atom
- DFT total energy: -5.15 eV/atom
- Spin magnetization: 0.0 μB/cell

---

[11]
The following is a DFT calculation (GGA-PBE) of a relaxed structure of AlCoAg2.

a = 3.8338 Å, b = 3.8338 Å, c = 4.0763 Å
α = 90.00°, β = 90.00°, γ = 90.00°
Last column: nearest neighbours and their distance in Å.
Positions (direct):
1 Al 0.0000 0.0000 0.0000  4 Co 2.71, 8 Ag 2.80
2 Co 0.5000 0.5000 0.0000  4 Al 2.71, 8 Ag 2.80
3 Ag 0.0000 0.5000 0.5000  4 Ag 2.71, 4 Co 2.80, 4 Al 2.80
4 Ag 0.5000 0.0000 0.5000  4 Ag 2.71, 4 Co 2.80, 4 Al 2.80

- Energy relative to the elements: 100 meV per atom
- DFT total energy: -4.04 eV/atom
- Spin magnetization: 0.0 μB/cell

---

[12]
The following is a DFT calculation (GGA-PBE) of a relaxed structure of Bi3NF6.

a = 5.8210 Å, b = 5.7853 Å, c = 18.8629 Å
α = 90.00°, β = 90.00°, γ = 90.00°
Last column: nearest neighbours and their distance in Å.
Positions (direct):
1 Bi 0.2039 0.0134 0.0687  2 F 2.27-2.51, 2 N 2.28
2 Bi 0.2039 0.0134 0.4313  2 F 2.27-2.51, 2 N 2.28
3 Bi 0.2039 0.4866 0.5687  2 F 2.27-2.51, 2 N 2.28
4 Bi 0.2039 0.4866 0.9313  2 F 2.27-2.51, 2 N 2.28
5 Bi 0.2812 0.0307 0.7500  8 F 2.28-2.46
6 Bi 0.2812 0.4693 0.2500  8 F 2.28-2.46
7 Bi 0.7188 0.5307 0.7500  8 F 2.28-2.46
8 Bi 0.7188 0.9693 0.2500  8 F 2.28-2.46
9 Bi 0.7961 0.5134 0.0687  2 F 2.27-2.51, 2 N 2.28
10 Bi 0.7961 0.5134 0.4313  2 F 2.27-2.51, 2 N 2.28
11 Bi 0.7961 0.9866 0.5687  2 F 2.27-2.51, 2 N 2.28
12 Bi 0.7961 0.9866 0.9313  2 F 2.27-2.51, 2 N 2.28
13 N 0.0166 0.7500 0.0000  4 Bi 2.28
14 N 0.0166 0.7500 0.5000  4 Bi 2.28
15 N 0.9834 0.2500 0.0000  4 Bi 2.28
16 N 0.9834 0.2500 0.5000  4 Bi 2.28
17 F 0.0940 0.1231 0.2500  2 Bi 2.28-2.36
18 F 0.0940 0.3769 0.7500  2 Bi 2.28-2.36
19 F 0.1235 0.0643 0.6292  2 Bi 2.27-2.46
20 F 0.1235 0.0643 0.8708  2 Bi 2.27-2.46
21 F 0.1235 0.4357 0.1292  2 Bi 2.27-2.46
22 F 0.1235 0.4357 0.3708  2 Bi 2.27-2.46
23 F 0.4606 0.7405 0.6786  2 Bi 2.35-2.39
24 F 0.4606 0.7405 0.8214  2 Bi 2.35-2.39
25 F 0.4606 0.7595 0.1786  2 Bi 2.35-2.39
26 F 0.4606 0.7595 0.3214  2 Bi 2.35-2.39
27 F 0.4884 0.2500 0.0000  4 Bi 2.51-2.68
28 F 0.4884 0.2500 0.5000  4 Bi 2.51-2.68
29 F 0.5116 0.7500 0.0000  4 Bi 2.51-2.68
30 F 0.5116 0.7500 0.5000  4 Bi 2.51-2.68
31 F 0.5394 0.2405 0.6786  2 Bi 2.35-2.39
32 F 0.5394 0.2405 0.8214  2 Bi 2.35-2.39
33 F 0.5394 0.2595 0.1786  2 Bi 2.35-2.39
34 F 0.5394 0.2595 0.3214  2 Bi 2.35-2.39
35 F 0.8765 0.5643 0.6292  2 Bi 2.27-2.46
36 F 0.8765 0.5643 0.8708  2 Bi 2.27-2.46
37 F 0.8765 0.9357 0.1292  2 Bi 2.27-2.46
38 F 0.8765 0.9357 0.3708  2 Bi 2.27-2.46
39 F 0.9060 0.6231 0.2500  2 Bi 2.28-2.36
40 F 0.9060 0.8769 0.7500  2 Bi 2.28-2.36

- Uncorrected formation energy: -19.0 eV per formula unit
- DFT total energy: -5.02 eV/atom
- Spin magnetization: 0.0 μB/cell